--- i ---
A plane-wave DFT calculation with GGA-PBE was carried out for Tb3HoGa2 after structural relaxation.

Values from the calculation:
Calculated volume   25.79 Å³ per atom
N(E_F)   11.02 states/eV per cell
Calculated density   8.384 g/cm3

Cell lengths 4.987, 9.471, 6.552 Å; angles 90.00, 90.00, 90.00 degrees
Positions (direct):
Tb (0.000, 0.048, 0.000)
Tb (0.000, 0.325, 0.352)
Tb (0.000, 0.675, 0.852)
Tb (0.000, 0.952, 0.500)
Tb (0.500, 0.179, 0.708)
Tb (0.500, 0.821, 0.208)
Ho (0.500, 0.451, 0.060)
Ho (0.500, 0.549, 0.560)
Ga (0.000, 0.357, 0.823)
Ga (0.000, 0.643, 0.323)
Ga (0.500, 0.143, 0.239)
Ga (0.500, 0.857, 0.739)

--- ii ---
A plane-wave DFT calculation with GGA-PBE was carried out for Tb3HoGa2 after structural relaxation.

Values from the calculation:
Calculated volume   26.56 Å³ per atom
N(E_F)   10.28 states/eV per cell
Calculated density   8.141 g/cm3

Cell lengths 8.451, 8.451, 8.887 Å; angles 116.68, 116.68, 34.68 degrees
Positions (direct):
Tb (0.062, 0.062, 0.217)
Tb (0.312, 0.312, 0.502)
Tb (0.377, 0.377, 0.988)
Tb (0.623, 0.623, 0.012)
Tb (0.688, 0.688, 0.498)
Tb (0.938, 0.938, 0.783)
Ho (0.128, 0.128, 0.690)
Ho (0.872, 0.872, 0.310)
Ga (0.229, 0.229, 0.113)
Ga (0.485, 0.485, 0.350)
Ga (0.515, 0.515, 0.650)
Ga (0.771, 0.771, 0.887)

Result of the stability comparison: ii is the least stable of them.

--- i ---
A plane-wave DFT calculation with GGA-PBE was carried out for TbHoGa4 after structural relaxation.

Values from the calculation:
Calculated volume   20.37 Å³ per atom
N(E_F)   3.28 states/eV per cell
Calculated density   8.188 g/cm3

Cell lengths 5.801, 5.801, 5.801 Å; angles 136.98, 106.03, 89.59 degrees
Positions (direct):
Tb (0.000, 0.000, 0.000)
Ho (0.379, 0.879, 0.500)
Ga (0.405, 0.602, 0.803)
Ga (0.580, 0.279, 0.301)
Ga (0.799, 0.602, 0.197)
Ga (0.978, 0.279, 0.699)

--- ii ---
A plane-wave DFT calculation with GGA-PBE was carried out for TbHoGa4 after structural relaxation.

Values from the calculation:
Calculated volume   20.99 Å³ per atom
N(E_F)   3.19 states/eV per cell
Calculated density   7.948 g/cm3

Cell lengths 4.216, 4.216, 8.183 Å; angles 90.00, 90.00, 120.00 degrees
Positions (direct):
Tb (0.000, 0.000, 0.000)
Ho (0.000, 0.000, 0.500)
Ga (0.333, 0.667, 0.252)
Ga (0.333, 0.667, 0.748)
Ga (0.667, 0.333, 0.252)
Ga (0.667, 0.333, 0.748)

--- iii ---
A plane-wave DFT calculation with GGA-PBE was carried out for TbHoGa4 after structural relaxation.

Values from the calculation:
Calculated volume   19.68 Å³ per atom
N(E_F)   3.72 states/eV per cell
Calculated density   8.475 g/cm3

Cell lengths 5.507, 5.507, 5.507 Å; angles 60.00, 60.00, 60.00 degrees
Positions (direct):
Tb (0.000, 0.000, 0.000)
Ho (0.250, 0.250, 0.250)
Ga (0.125, 0.625, 0.625)
Ga (0.625, 0.125, 0.625)
Ga (0.625, 0.625, 0.125)
Ga (0.625, 0.625, 0.625)

Result of the stability comparison: iii is the least stable of them.

--- i ---
A plane-wave DFT calculation with GGA-PBE was carried out for TbHoGa after structural relaxation.

Values from the calculation:
Calculated volume   26.17 Å³ per atom
N(E_F)   2.16 states/eV per cell
Calculated density   8.323 g/cm3

Cell lengths 6.982, 6.982, 6.982 Å; angles 151.26, 151.26, 41.09 degrees
Positions (direct):
Tb (0.000, 0.000, 0.000)
Ho (0.709, 0.709, 0.000)
Ga (0.353, 0.353, 0.000)

--- ii ---
A plane-wave DFT calculation with GGA-PBE was carried out for TbHoGa after structural relaxation.

Values from the calculation:
Calculated volume   25.96 Å³ per atom
N(E_F)   1.49 states/eV per cell
Calculated density   8.391 g/cm3

Cell lengths 4.963, 4.963, 3.651 Å; angles 90.00, 90.00, 120.00 degrees
Positions (direct):
Tb (0.000, 0.000, 0.000)
Ho (0.667, 0.333, 0.463)
Ga (0.333, 0.667, 0.706)

Result of the stability comparison: ii is the least stable of them.

--- i ---
A plane-wave DFT calculation with GGA-PBE was carried out for TbHoGa after structural relaxation.

Values from the calculation:
Calculated volume   27.46 Å³ per atom
N(E_F)   6.65 states/eV per cell
Calculated density   7.934 g/cm3

Cell lengths 3.587, 3.587, 14.783 Å; angles 90.00, 90.00, 120.00 degrees
Positions (direct):
Tb (0.333, 0.667, 0.403)
Tb (0.667, 0.333, 0.597)
Ho (0.333, 0.667, 0.794)
Ho (0.667, 0.333, 0.206)
Ga (0.333, 0.667, 0.057)
Ga (0.667, 0.333, 0.943)

--- ii ---
A plane-wave DFT calculation with GGA-PBE was carried out for TbHoGa after structural relaxation.

Values from the calculation:
Calculated volume   28.68 Å³ per atom
N(E_F)   4.55 states/eV per cell
Calculated density   7.595 g/cm3

Cell lengths 4.955, 4.955, 4.955 Å; angles 60.00, 60.00, 60.00 degrees
Positions (direct):
Tb (0.000, 0.000, 0.000)
Ho (0.500, 0.500, 0.500)
Ga (0.250, 0.250, 0.250)

Result of the stability comparison: i is the least stable of them.

--- i ---
A plane-wave DFT calculation with GGA-PBE was carried out for TbHoGa after structural relaxation.

Values from the calculation:
Calculated volume   26.38 Å³ per atom
N(E_F)   22.60 states/eV per cell
Calculated density   8.259 g/cm3

Cell lengths 7.928, 4.474, 13.389 Å; angles 90.00, 90.86, 90.00 degrees
Positions (direct):
Tb (0.029, 0.250, 0.114)
Tb (0.146, 0.250, 0.416)
Tb (0.470, 0.750, 0.784)
Tb (0.530, 0.250, 0.216)
Tb (0.854, 0.750, 0.584)
Tb (0.971, 0.750, 0.886)
Ho (0.126, 0.250, 0.710)
Ho (0.357, 0.750, 0.048)
Ho (0.482, 0.750, 0.409)
Ho (0.518, 0.250, 0.591)
Ho (0.643, 0.250, 0.952)
Ho (0.874, 0.750, 0.290)
Ga (0.230, 0.750, 0.249)
Ga (0.245, 0.750, 0.580)
Ga (0.259, 0.250, 0.917)
Ga (0.741, 0.750, 0.083)
Ga (0.755, 0.250, 0.420)
Ga (0.770, 0.250, 0.751)

--- ii ---
A plane-wave DFT calculation with GGA-PBE was carried out for TbHoGa after structural relaxation.

Values from the calculation:
Calculated volume   25.76 Å³ per atom
N(E_F)   5.02 states/eV per cell
Calculated density   8.457 g/cm3

Cell lengths 8.387, 8.387, 5.156 Å; angles 90.10, 90.10, 25.22 degrees
Positions (direct):
Tb (0.077, 0.077, 0.248)
Tb (0.923, 0.923, 0.752)
Ho (0.223, 0.223, 0.750)
Ho (0.777, 0.777, 0.250)
Ga (0.422, 0.422, 0.253)
Ga (0.578, 0.578, 0.747)

Result of the stability comparison: ii is the least stable of them.

--- i ---
A plane-wave DFT calculation with GGA-PBE was carried out for Tb2HoGa3 after structural relaxation.

Values from the calculation:
Calculated volume   24.65 Å³ per atom
N(E_F)   9.27 states/eV per cell
Calculated density   7.770 g/cm3

Cell lengths 10.708, 10.708, 6.216 Å; angles 90.00, 90.00, 155.48 degrees
Positions (direct):
Tb (0.034, 0.966, 0.750)
Tb (0.143, 0.857, 0.250)
Tb (0.857, 0.143, 0.750)
Tb (0.966, 0.034, 0.250)
Ho (0.324, 0.676, 0.250)
Ho (0.676, 0.324, 0.750)
Ga (0.262, 0.738, 0.750)
Ga (0.438, 0.562, 0.545)
Ga (0.438, 0.562, 0.955)
Ga (0.562, 0.438, 0.045)
Ga (0.562, 0.438, 0.455)
Ga (0.738, 0.262, 0.250)

--- ii ---
A plane-wave DFT calculation with GGA-PBE was carried out for Tb2HoGa3 after structural relaxation.

Values from the calculation:
Calculated volume   22.85 Å³ per atom
N(E_F)   4.19 states/eV per cell
Calculated density   8.379 g/cm3

Cell lengths 5.051, 5.051, 12.412 Å; angles 90.00, 90.00, 120.00 degrees
Positions (direct):
Tb (0.000, 0.000, 0.000)
Tb (0.000, 0.000, 0.500)
Tb (0.333, 0.667, 0.168)
Tb (0.667, 0.333, 0.832)
Ho (0.333, 0.667, 0.667)
Ho (0.667, 0.333, 0.333)
Ga (0.000, 0.000, 0.251)
Ga (0.000, 0.000, 0.749)
Ga (0.333, 0.667, 0.417)
Ga (0.333, 0.667, 0.916)
Ga (0.667, 0.333, 0.084)
Ga (0.667, 0.333, 0.583)

Result of the stability comparison: i is the least stable of them.

--- i ---
A plane-wave DFT calculation with GGA-PBE was carried out for TbHo2Ga6 after structural relaxation.

Values from the calculation:
Calculated volume   22.14 Å³ per atom
N(E_F)   4.61 states/eV per cell
Calculated density   7.559 g/cm3

Cell lengths 7.808, 7.808, 7.808 Å; angles 148.05, 126.92, 63.30 degrees
Positions (direct):
Tb (0.000, 0.000, 0.000)
Ho (0.374, 0.874, 0.500)
Ho (0.626, 0.126, 0.500)
Ga (0.008, 0.315, 0.693)
Ga (0.311, 0.500, 0.811)
Ga (0.378, 0.685, 0.693)
Ga (0.622, 0.315, 0.307)
Ga (0.689, 0.500, 0.189)
Ga (0.992, 0.685, 0.307)

--- ii ---
A plane-wave DFT calculation with GGA-PBE was carried out for TbHo2Ga6 after structural relaxation.

Values from the calculation:
Calculated volume   20.49 Å³ per atom
N(E_F)   3.64 states/eV per cell
Calculated density   8.170 g/cm3

Cell lengths 7.462, 7.462, 3.823 Å; angles 90.00, 90.00, 120.00 degrees
Positions (direct):
Tb (0.000, 0.000, 0.000)
Ho (0.333, 0.667, 0.000)
Ho (0.667, 0.333, 0.000)
Ga (0.000, 0.334, 0.500)
Ga (0.000, 0.666, 0.500)
Ga (0.334, 0.000, 0.500)
Ga (0.334, 0.334, 0.500)
Ga (0.666, 0.000, 0.500)
Ga (0.666, 0.666, 0.500)

Result of the stability comparison: i is the least stable of them.

--- i ---
A plane-wave DFT calculation with GGA-PBE was carried out for HoGa2Tc after structural relaxation.

Values from the calculation:
Calculated volume   18.37 Å³ per atom
N(E_F)   5.32 states/eV per cell
Calculated density   9.095 g/cm3

Cell lengths 7.051, 4.264, 9.773 Å; angles 90.00, 90.00, 90.00 degrees
Positions (direct):
Ho (0.193, 0.250, 0.179)
Ho (0.307, 0.750, 0.679)
Ho (0.693, 0.250, 0.321)
Ho (0.807, 0.750, 0.821)
Ga (0.097, 0.250, 0.829)
Ga (0.196, 0.750, 0.969)
Ga (0.304, 0.250, 0.469)
Ga (0.403, 0.750, 0.329)
Ga (0.597, 0.250, 0.671)
Ga (0.696, 0.750, 0.531)
Ga (0.804, 0.250, 0.031)
Ga (0.903, 0.750, 0.171)
Tc (0.039, 0.750, 0.438)
Tc (0.461, 0.250, 0.938)
Tc (0.539, 0.750, 0.062)
Tc (0.961, 0.250, 0.562)

--- ii ---
A plane-wave DFT calculation with GGA-PBE was carried out for HoGa2Tc after structural relaxation.

Values from the calculation:
Calculated volume   17.98 Å³ per atom
N(E_F)   4.14 states/eV per cell
Calculated density   9.291 g/cm3

Cell lengths 3.353, 3.353, 6.397 Å; angles 90.00, 90.00, 90.00 degrees
Positions (direct):
Ho (0.000, 0.000, 0.000)
Ga (0.500, 0.500, 0.300)
Ga (0.500, 0.500, 0.700)
Tc (0.000, 0.000, 0.500)

--- iii ---
A plane-wave DFT calculation with GGA-PBE was carried out for HoGa2Tc after structural relaxation.

Values from the calculation:
Calculated volume   19.83 Å³ per atom
N(E_F)   1.58 states/eV per cell
Calculated density   8.425 g/cm3

Cell lengths 7.132, 7.132, 7.132 Å; angles 29.80, 29.80, 29.80 degrees
Positions (direct):
Ho (0.000, 0.000, 0.000)
Ga (0.235, 0.235, 0.235)
Ga (0.765, 0.765, 0.765)
Tc (0.500, 0.500, 0.500)

Result of the stability comparison: iii is the least stable of them.